No. 1
LaNb2Pb: optimized geometry, PBE.

Geometry as extended XYZ:
```
8
Lattice="8.2941 0.0000 0.0000 0.0000 8.2941 0.0000 4.1471 4.1471 3.0379" Properties=species:S:1:pos:R:3 pbc="T T T"
La 4.1471 8.2941 1.5189
Pb 8.2941 4.1471 1.5189
Nb 1.8044 6.2206 0.7595
Nb 6.2206 5.9515 2.2784
Nb 10.3677 10.6368 2.2784
Nb 6.4897 2.0735 0.7595
Pb 0.0000 0.0000 0.0000
La 4.1471 4.1471 0.0000
```

Properties
Crystal system: tetragonal
E_tot (eV/atom): -6.352
Total moment (μB/cell): 0.0
Formation enthalpy at 0 K (kJ/mol of formula units): 325
SG: No. 122



No. 2
PuGa11Co: optimized geometry, PBE.

Geometry as extended XYZ:
```
13
Lattice="-3.0694 -1.6008 -3.7716 3.9974 -4.9067 -4.3725 -3.4206 -5.4709 1.6313" Properties=species:S:1:pos:R:3 pbc="T T T"
Ga 0.7944 -5.7522 -4.9414
Co 0.4640 -3.2537 -4.0720
Ga -1.7103 -2.7355 0.8157
Ga -0.8881 -7.3128 -3.1302
Ga 1.9987 -2.4533 -2.1862
Ga -3.2870 -6.2262 -1.5714
Ga -1.8278 -9.2459 -4.7990
Ga 1.2413 -5.0397 -2.3534
Ga -0.6648 -2.7325 -1.7138
Ga -3.7339 -6.9388 -4.1594
Pu 0.0000 0.0000 0.0000
Ga -1.6045 -4.6656 -3.3826
Ga -3.2450 -3.5359 -1.0701
```

Properties
Crystal system: monoclinic
E_tot (eV/atom): -4.310
Total moment (μB/cell): 5.3
Formation enthalpy at 0 K (kJ/mol of formula units): -125
SG: No. 12



No. 3
AcNd3SmHo: optimized geometry, PBE.

Geometry as extended XYZ:
```
12
Lattice="5.8823 0.0000 0.0000 -2.9411 10.3275 1.6597 0.0000 -1.2368 7.0197" Properties=species:S:1:pos:R:3 pbc="T T T"
Ho 2.9411 8.2575 6.4047
Nd 0.0000 4.1906 2.6519
Nd 2.9411 6.7405 2.9006
Nd 2.9411 4.9001 6.0276
Nd 0.0000 2.3502 5.7788
Ho 0.0000 0.8332 2.2747
Nd 0.0000 9.6466 3.4062
Nd 2.9411 -0.5559 5.2733
Sm 2.9411 2.3266 3.9246
Ac 0.0000 6.1034 7.9215
Ac 2.9411 2.9873 0.7580
Sm 0.0000 6.7641 4.7548
```

Properties
Crystal system: monoclinic
E_tot (eV/atom): -4.399
Total moment (μB/cell): 0.0
Formation enthalpy at 0 K (kJ/mol of formula units): 127
SG: No. 12



No. 4
HfAs2Au: optimized geometry, PBE.

Geometry as extended XYZ:
```
4
Lattice="1.3191 -4.5469 -0.2972 -2.3025 -3.3062 2.5040 -2.7860 -3.1382 -2.2119" Properties=species:S:1:pos:R:3 pbc="T T T"
As -2.8270 -8.2434 -0.0039
As -0.9423 -2.7478 -0.0013
Au -1.8847 -5.4956 -0.0026
Hf 0.0000 0.0000 0.0000
```

Properties
Crystal system: cubic
E_tot (eV/atom): -5.745
Total moment (μB/cell): 0.0
Formation enthalpy at 0 K (kJ/mol of formula units): -43
SG: No. 225